Crystalline LiPu2TcGe6 at its relaxed geometry, computed with PBE. Values from VASP.

Summary:
calculated formation energy: -0.2389 eV/atom
ρ: 8.901 g cm⁻³
total moment: 0.41 μB per formula unit
V: 383.9 Å³ per cell
calculated total energy: -7.104 eV per atom

Structure (Quantum ESPRESSO input):
```
&SYSTEM
  ibrav = 0, nat = 20, ntyp = 4
/
ATOMIC_SPECIES
Li 6.94 Li.upf
Pu 244.00 Pu.upf
Tc 98.00 Tc.upf
Ge 72.64 Ge.upf
CELL_PARAMETERS angstrom
3.0868 1.7821 11.6299
-3.0868 1.7821 11.6299
0.0000 -3.5643 11.6299
ATOMIC_POSITIONS angstrom
Li 0.0000 0.0000 2.5085
Li 0.0000 0.0000 32.3813
Pu 0.0000 0.0000 7.2231
Pu 0.0000 0.0000 13.5711
Pu 0.0000 0.0000 21.3188
Pu 0.0000 0.0000 27.6667
Tc 0.0000 0.0000 0.0000
Tc 0.0000 0.0000 17.4449
Ge -1.7581 -1.0151 18.8659
Ge 0.0000 -1.4326 10.3310
Ge -1.2407 0.7163 10.3310
Ge 0.0000 -2.0301 16.0240
Ge -1.7581 1.0151 16.0240
Ge -1.2406 -0.7163 24.5588
Ge 1.2406 0.7163 10.3310
Ge 1.7581 -1.0151 18.8658
Ge 0.0000 2.0301 18.8658
Ge 1.2406 -0.7163 24.5588
Ge 0.0000 1.4326 24.5588
Ge 1.7581 1.0151 16.0240
```

Crystalline Li2PuGeTe4 at its relaxed geometry, computed with PBE. Values from VASP.

Summary:
ρ: 6.277 g cm⁻³
total moment: 4.12 μB per formula unit
V: 222.4 Å³ per cell
calculated total energy: -5.094 eV per atom
formation energy (no corrections): -0.676 eV per atom

Structure (Quantum ESPRESSO input):
```
&SYSTEM
  ibrav = 0, nat = 8, ntyp = 4
/
ATOMIC_SPECIES
Li 6.94 Li.upf
Pu 244.00 Pu.upf
Ge 72.64 Ge.upf
Te 127.60 Te.upf
CELL_PARAMETERS angstrom
7.2746 0.0000 0.0000
0.0000 4.3086 0.0000
-2.5689 0.0000 7.0970
ATOMIC_POSITIONS angstrom
Li 0.0000 0.0000 0.0000
Li -1.2844 2.1543 3.5485
Pu 2.3528 0.0000 3.5485
Ge 3.6373 2.1543 0.0000
Te 1.1677 2.1543 1.7150
Te -0.1079 0.0000 5.3513
Te 4.8136 0.0000 1.7457
Te 3.5379 2.1543 5.3820
```

Crystalline LiPuTlGe at its relaxed geometry, computed with PBE. Values from VASP.

Summary:
calculated formation energy: -0.1867 eV/atom
ρ: 9.622 g cm⁻³
total moment: 5.67 μB per formula unit
V: 91.1 Å³ per cell
calculated total energy: -5.994 eV per atom

Structure (Quantum ESPRESSO input):
```
&SYSTEM
  ibrav = 0, nat = 4, ntyp = 4
/
ATOMIC_SPECIES
Li 6.94 Li.upf
Pu 244.00 Pu.upf
Tl 204.38 Tl.upf
Ge 72.64 Ge.upf
CELL_PARAMETERS angstrom
0.0000 3.5715 3.5715
3.5715 0.0000 3.5715
3.5715 3.5715 0.0000
ATOMIC_POSITIONS angstrom
Li 0.0000 0.0000 0.0000
Pu 3.5715 3.5715 3.5715
Tl 1.7857 1.7857 1.7857
Ge 5.3572 5.3572 5.3572
```

Crystalline LiPuZnGe at its relaxed geometry, computed with PBE. Values from VASP.

Summary:
calculated formation energy: -0.2633 eV/atom
ρ: 8.254 g cm⁻³
total moment: 5.34 μB per formula unit
V: 78.3 Å³ per cell
calculated total energy: -5.798 eV per atom

Structure (Quantum ESPRESSO input):
```
&SYSTEM
  ibrav = 0, nat = 4, ntyp = 4
/
ATOMIC_SPECIES
Li 6.94 Li.upf
Pu 244.00 Pu.upf
Zn 65.41 Zn.upf
Ge 72.64 Ge.upf
CELL_PARAMETERS angstrom
0.0000 3.3949 3.3949
3.3949 0.0000 3.3949
3.3949 3.3949 0.0000
ATOMIC_POSITIONS angstrom
Li 0.0000 0.0000 0.0000
Pu 3.3949 3.3949 3.3949
Zn 5.0923 5.0923 5.0923
Ge 1.6974 1.6974 1.6974
```

Crystalline RbLiGe3 at its relaxed geometry, computed with PBE. Values from VASP.

Summary:
calculated formation energy: 1.4573 eV/atom
ρ: 2.679 g cm⁻³
total moment: 0.00 μB per formula unit
V: 192.4 Å³ per cell
calculated total energy: -1.889 eV per atom
offset from the most stable computed form: 1119.2 meV/atom

Structure (Quantum ESPRESSO input):
```
&SYSTEM
  ibrav = 0, nat = 5, ntyp = 3
/
ATOMIC_SPECIES
Rb 85.47 Rb.upf
Li 6.94 Li.upf
Ge 72.64 Ge.upf
CELL_PARAMETERS angstrom
5.7726 0.0000 0.0000
0.0000 5.7726 0.0000
0.0000 0.0000 5.7726
ATOMIC_POSITIONS angstrom
Rb 0.0000 0.0000 0.0000
Li 2.8863 2.8863 2.8863
Ge 0.0000 0.0000 2.8863
Ge 0.0000 2.8863 0.0000
Ge 2.8863 0.0000 0.0000
```

Crystalline RbLiGe at its relaxed geometry, computed with PBE. Values from VASP.

Summary:
calculated formation energy: -0.1597 eV/atom
ρ: 2.388 g cm⁻³
total moment: 0.00 μB per formula unit
V: 229.6 Å³ per cell
calculated total energy: -2.659 eV per atom
offset from the most stable computed form: 50.8 meV/atom

Structure (Quantum ESPRESSO input):
```
&SYSTEM
  ibrav = 0, nat = 6, ntyp = 3
/
ATOMIC_SPECIES
Rb 85.47 Rb.upf
Li 6.94 Li.upf
Ge 72.64 Ge.upf
CELL_PARAMETERS angstrom
4.1342 0.0000 0.0000
0.0000 5.2268 0.0000
0.0297 1.2416 10.6236
ATOMIC_POSITIONS angstrom
Rb 1.0334 1.9198 3.2765
Rb 3.1306 4.5486 7.3471
Li 1.0634 1.8898 9.8388
Li 3.1006 4.5785 0.7848
Ge 1.0632 4.5175 10.2319
Ge 3.1007 1.9508 0.3917
```